(1)
# Cs2NaPt (SCAN, PBEsol geometry)
data_Cs2NaPt
_chemical_formula_sum 'Cs8 Na4 Pt4'
_space_group_name_H-M_alt 'F m -3 m'
_space_group_IT_number 225
_space_group_name_Hall '-F 4 2 3'
_cell_length_a 8.189
_cell_length_b 8.189
_cell_length_c 8.189
_cell_angle_alpha 90.00
_cell_angle_beta 90.00
_cell_angle_gamma 90.00
loop_
_atom_site_label
_atom_site_type_symbol
_atom_site_fract_x
_atom_site_fract_y
_atom_site_fract_z
Cs1 Cs 0.250 0.250 0.250
Na1 Na 0.000 0.000 0.000
Pt1 Pt 0.000 0.000 0.500
# - E (eV/atom) = -37.32
# - energy of formation from the pure elements (meV per atom) = 183

(2)
# Cs2NaTaPt (SCAN, PBEsol geometry)
data_Cs2NaTaPt
_chemical_formula_sum 'Cs2 Na1 Ta1 Pt1'
_space_group_name_H-M_alt 'P 4/m m m'
_space_group_IT_number 123
_space_group_name_Hall '-P 4 2'
_cell_length_a 6.195
_cell_length_b 6.195
_cell_length_c 4.975
_cell_angle_alpha 90.00
_cell_angle_beta 90.00
_cell_angle_gamma 90.00
loop_
_atom_site_label
_atom_site_type_symbol
_atom_site_fract_x
_atom_site_fract_y
_atom_site_fract_z
Cs1 Cs 0.000 0.500 0.000
Na1 Na 0.000 0.000 0.000
Ta1 Ta 0.500 0.500 0.500
Pt1 Pt 0.000 0.000 0.500
# - E (eV/atom) = -41.80
# - energy of formation from the pure elements (meV per atom) = 1524

(3)
# CsNaTcPt2 (SCAN, PBEsol geometry)
data_CsNaTcPt2
_chemical_formula_sum 'Cs1 Na1 Tc1 Pt2'
_space_group_name_H-M_alt 'P 4/m m m'
_space_group_IT_number 123
_space_group_name_Hall '-P 4 2'
_cell_length_a 4.900
_cell_length_b 4.900
_cell_length_c 5.022
_cell_angle_alpha 90.00
_cell_angle_beta 90.00
_cell_angle_gamma 90.00
loop_
_atom_site_label
_atom_site_type_symbol
_atom_site_fract_x
_atom_site_fract_y
_atom_site_fract_z
Cs1 Cs 0.000 0.000 0.000
Na1 Na 0.000 0.000 0.500
Tc1 Tc 0.500 0.500 0.000
Pt1 Pt 0.000 0.500 0.500
# - E (eV/atom) = -41.83
# - energy of formation from the pure elements (meV per atom) = 1666

(4)
# CsNaPt2W (SCAN, PBEsol geometry)
data_CsNaPt2W
_chemical_formula_sum 'Cs1 Na1 Pt2 W1'
_space_group_name_H-M_alt 'P 4/m m m'
_space_group_IT_number 123
_space_group_name_Hall '-P 4 2'
_cell_length_a 4.888
_cell_length_b 4.888
_cell_length_c 5.734
_cell_angle_alpha 90.00
_cell_angle_beta 90.00
_cell_angle_gamma 90.00
loop_
_atom_site_label
_atom_site_type_symbol
_atom_site_fract_x
_atom_site_fract_y
_atom_site_fract_z
Cs1 Cs 0.000 0.000 0.000
Na1 Na 0.500 0.500 0.000
Pt1 Pt 0.000 0.500 0.500
W1 W 0.000 0.000 0.500
# - E (eV/atom) = -49.55
# - energy of formation from the pure elements (meV per atom) = 865

(5)
# CsRb2Na (SCAN, PBEsol geometry)
data_CsRb2Na
_chemical_formula_sum 'Cs4 Rb8 Na4'
_space_group_name_H-M_alt 'F m -3 m'
_space_group_IT_number 225
_space_group_name_Hall '-F 4 2 3'
_cell_length_a 10.561
_cell_length_b 10.561
_cell_length_c 10.561
_cell_angle_alpha 90.00
_cell_angle_beta 90.00
_cell_angle_gamma 90.00
loop_
_atom_site_label
_atom_site_type_symbol
_atom_site_fract_x
_atom_site_fract_y
_atom_site_fract_z
Cs1 Cs 0.000 0.000 0.000
Rb1 Rb 0.250 0.250 0.250
Na1 Na 0.000 0.000 0.500
# - offset from the most stable computed form (eV per formula unit) = 0.00
# - E (eV/atom) = -20.85
# - energy of formation from the pure elements (meV per atom) = 24

(6)
# Cs3RbNa (SCAN, PBEsol geometry)
data_Cs3RbNa
_chemical_formula_sum 'Cs3 Rb1 Na1'
_space_group_name_H-M_alt 'P m -3 m'
_space_group_IT_number 221
_space_group_name_Hall '-P 4 2 3'
_cell_length_a 7.924
_cell_length_b 7.924
_cell_length_c 7.924
_cell_angle_alpha 90.00
_cell_angle_beta 90.00
_cell_angle_gamma 90.00
loop_
_atom_site_label
_atom_site_type_symbol
_atom_site_fract_x
_atom_site_fract_y
_atom_site_fract_z
Cs1 Cs 0.000 0.000 0.500
Rb1 Rb 0.500 0.500 0.500
Na1 Na 0.000 0.000 0.000
# - E (eV/atom) = -27.60
# - energy of formation from the pure elements (meV per atom) = 77

(7)
# CsRb2Na (SCAN, PBEsol geometry)
data_CsRb2Na
_chemical_formula_sum 'Cs4 Rb8 Na4'
_space_group_name_H-M_alt 'I -4 2 d'
_space_group_IT_number 122
_space_group_name_Hall 'I -4 2bw'
_cell_length_a 6.301
_cell_length_b 6.301
_cell_length_c 32.021
_cell_angle_alpha 90.00
_cell_angle_beta 90.00
_cell_angle_gamma 90.00
loop_
_atom_site_label
_atom_site_type_symbol
_atom_site_fract_x
_atom_site_fract_y
_atom_site_fract_z
Cs1 Cs 0.000 0.000 0.000
Rb1 Rb 0.231 0.250 0.625
Na1 Na 0.000 0.000 0.500
# - offset from the most stable computed form (eV per formula unit) = 0.22
# - E (eV/atom) = -20.80
# - energy of formation from the pure elements (meV per atom) = 80

(8)
# CsRb3Na (SCAN, PBEsol geometry)
data_CsRb3Na
_chemical_formula_sum 'Cs1 Rb3 Na1'
_space_group_name_H-M_alt 'P m -3 m'
_space_group_IT_number 221
_space_group_name_Hall '-P 4 2 3'
_cell_length_a 7.614
_cell_length_b 7.614
_cell_length_c 7.614
_cell_angle_alpha 90.00
_cell_angle_beta 90.00
_cell_angle_gamma 90.00
loop_
_atom_site_label
_atom_site_type_symbol
_atom_site_fract_x
_atom_site_fract_y
_atom_site_fract_z
Cs1 Cs 0.000 0.000 0.000
Rb1 Rb 0.000 0.500 0.500
Na1 Na 0.500 0.500 0.500
# - E (eV/atom) = -20.78
# - energy of formation from the pure elements (meV per atom) = 66

(9)
# CsNaRh3 (SCAN, PBEsol geometry)
data_CsNaRh3
_chemical_formula_sum 'Cs1 Na1 Rh3'
_space_group_name_H-M_alt 'P m -3 m'
_space_group_IT_number 221
_space_group_name_Hall '-P 4 2 3'
_cell_length_a 4.896
_cell_length_b 4.896
_cell_length_c 4.896
_cell_angle_alpha 90.00
_cell_angle_beta 90.00
_cell_angle_gamma 90.00
loop_
_atom_site_label
_atom_site_type_symbol
_atom_site_fract_x
_atom_site_fract_y
_atom_site_fract_z
Cs1 Cs 0.000 0.000 0.000
Na1 Na 0.500 0.500 0.500
Rh1 Rh 0.000 0.000 0.500
# - E (eV/atom) = -26.84
# - energy of formation from the pure elements (meV per atom) = 1824

(10)
# CsNaS (SCAN, PBEsol geometry)
data_CsNaS
_chemical_formula_sum 'Cs2 Na2 S2'
_space_group_name_H-M_alt 'P 4/n m m'
_space_group_IT_number 129
_cell_length_a 4.742
_cell_length_b 4.742
_cell_length_c 7.812
_cell_angle_alpha 90.00
_cell_angle_beta 90.00
_cell_angle_gamma 90.00
loop_
_space_group_symop_operation_xyz
'x,y,z'
'-x,-y,-z'
'-y+1/2,x,z'
'y+1/2,-x,-z'
'-x+1/2,-y+1/2,z'
'x+1/2,y+1/2,-z'
'y,-x+1/2,z'
'-y,x+1/2,-z'
'x+1/2,-y,-z'
'-x+1/2,y,z'
'-y,-x,-z'
'y,x,z'
'-x,y+1/2,-z'
'x,-y+1/2,z'
'y+1/2,x+1/2,-z'
'-y+1/2,-x+1/2,z'
loop_
_atom_site_label
_atom_site_type_symbol
_atom_site_fract_x
_atom_site_fract_y
_atom_site_fract_z
Cs1 Cs 0.250 0.250 0.148
Na1 Na 0.250 0.750 0.500
S1 S 0.250 0.250 0.696
# - E (eV/atom) = -18.51

(11)
# CsNa3S (SCAN, PBEsol geometry)
data_CsNa3S
_chemical_formula_sum 'Cs1 Na3 S1'
_space_group_name_H-M_alt 'P m -3 m'
_space_group_IT_number 221
_space_group_name_Hall '-P 4 2 3'
_cell_length_a 6.332
_cell_length_b 6.332
_cell_length_c 6.332
_cell_angle_alpha 90.00
_cell_angle_beta 90.00
_cell_angle_gamma 90.00
loop_
_atom_site_label
_atom_site_type_symbol
_atom_site_fract_x
_atom_site_fract_y
_atom_site_fract_z
Cs1 Cs 0.000 0.000 0.000
Na1 Na 0.000 0.000 0.500
S1 S 0.500 0.500 0.500
# - E (eV/atom) = -11.28

(12)
# CsNa2S2 (SCAN, PBEsol geometry)
data_CsNa2S2
_chemical_formula_sum 'Cs2 Na4 S4'
_space_group_name_H-M_alt 'I 4/m m m'
_space_group_IT_number 139
_space_group_name_Hall '-I 4 2'
_cell_length_a 4.764
_cell_length_b 4.764
_cell_length_c 11.534
_cell_angle_alpha 90.00
_cell_angle_beta 90.00
_cell_angle_gamma 90.00
loop_
_atom_site_label
_atom_site_type_symbol
_atom_site_fract_x
_atom_site_fract_y
_atom_site_fract_z
Cs1 Cs 0.000 0.000 0.000
Na1 Na 0.000 0.500 0.250
S1 S 0.000 0.000 0.375
# - E (eV/atom) = -14.13